# 1
# PmTh2Bi4

A relaxed structure of PmTh2Bi4 (PBE, Alexandria).

Values from the calculation:
Distance to the lowest polymorph of the same formula = 0.000 eV per atom

The structure in extended XYZ format:
```
14
Lattice="-4.8181 4.8181 4.8528 4.8181 -4.8181 4.8528 4.8181 4.8181 -4.8528" Properties=species:S:1:pos:R:3 pbc="T T T"
Pm 0.0000 0.0000 0.0000
Pm 0.0000 4.8181 2.4264
Th 2.4090 -1.1949 3.6396
Th 3.6232 2.4090 1.2132
Th 2.4090 6.0130 -1.2132
Th 1.1949 2.4090 6.0660
Bi 4.0431 3.1577 -1.9796
Bi 6.4784 0.7749 0.4468
Bi 0.7749 3.1577 -0.4468
Bi 0.7749 1.6604 2.8732
Bi 1.6604 -0.7749 6.8324
Bi 4.0431 1.6604 4.4060
Bi 3.1577 5.5930 1.9796
Bi -1.6604 4.0431 5.2996
```


# 2
# Li3Tb2TiSe6

A relaxed structure of Li3Tb2TiSe6 (PBE, Alexandria).

Values from the calculation:
E = -0.189 Ha/atom

The structure in extended XYZ format:
```
12
Lattice="3.4375 -5.9443 0.0000 3.4375 5.9443 0.0000 -2.2887 0.0000 6.4712" Properties=species:S:1:pos:R:3 pbc="T T T"
Li 0.0000 0.0000 0.0000
Li 3.4375 1.9662 0.0000
Li 3.4375 -1.9662 0.0000
Tb 2.2931 3.9498 3.2356
Tb 2.2931 -3.9498 3.2356
Ti 2.2931 0.0000 3.2356
Se 1.2110 1.8581 1.6136
Se 0.1571 0.0000 4.8186
Se 1.2110 -1.8581 1.6136
Se 3.3753 1.8581 4.8575
Se 4.4292 0.0000 1.6526
Se 3.3753 -1.8581 4.8575
```


# 3
# MnIn2P

A relaxed structure of MnIn2P (PBE, Alexandria).

Values from the calculation:
E = -0.183 Ha/atom

The structure in extended XYZ format:
```
4
Lattice="4.1057 0.0000 0.0000 0.0000 3.6991 0.0000 -2.0524 0.0000 5.0709" Properties=species:S:1:pos:R:3 pbc="T T T"
Mn 0.0000 0.0000 0.0000
In -0.0052 0.0000 2.8169
In 2.0494 1.8496 0.8445
P 2.0427 1.8496 3.6841
```


# 4
# Ac4TlRh

A relaxed structure of Ac4TlRh (PBE, Alexandria).

Values from the calculation:
Distance to the lowest polymorph of the same formula = 0.000 eV per atom

The structure in extended XYZ format:
```
24
Lattice="0.0000 7.4902 7.4902 7.4902 0.0000 7.4902 7.4902 7.4902 0.0000" Properties=species:S:1:pos:R:3 pbc="T T T"
Ac 3.7451 3.7451 0.9007
Ac 3.7451 0.9007 3.7451
Ac 6.5895 3.7451 3.7451
Ac 7.4902 7.4902 2.8255
Ac 7.4902 2.8255 7.4902
Ac 12.1549 7.4902 7.4902
Ac 8.9449 6.0356 6.0356
Ac 0.9007 3.7451 3.7451
Ac 3.7451 6.5895 3.7451
Ac 3.7451 3.7451 6.5895
Ac 6.0356 8.9449 6.0356
Ac 6.0356 6.0356 8.9449
Ac 8.9449 8.9449 8.9449
Ac 2.8255 7.4902 7.4902
Ac 7.4902 12.1549 7.4902
Ac 7.4902 7.4902 12.1549
Tl 12.4540 10.0166 10.0166
Tl 10.0166 12.4540 10.0166
Tl 10.0166 10.0166 12.4540
Tl 12.4540 12.4540 12.4540
Rh 5.8739 5.8739 5.8739
Rh 9.1065 9.1065 5.8739
Rh 9.1065 5.8739 9.1065
Rh 5.8739 9.1065 9.1065
```


# 5
# Mo2W3Se8

A relaxed structure of Mo2W3Se8 (PBE, Alexandria).

Values from the calculation:
E = -0.257 Ha/atom

The structure in extended XYZ format:
```
13
Lattice="6.1557 -3.6077 0.0000 6.1557 3.6077 0.0000 -0.4483 0.0000 6.3654" Properties=species:S:1:pos:R:3 pbc="T T T"
Mo 2.0586 0.0000 2.2311
Mo 9.8046 0.0000 4.1343
W 0.0000 0.0000 0.0000
W 5.9316 2.1614 3.1827
W 5.9316 -2.1614 3.1827
Se 1.4470 0.0000 4.6067
Se 4.4868 1.6381 5.2581
Se 7.3764 1.6381 1.1073
Se 4.5435 0.0000 2.2586
Se 7.3197 0.0000 4.1068
Se 4.4868 -1.6381 5.2581
Se 7.3764 -1.6381 1.1073
Se 10.4162 0.0000 1.7587
```